[1]
Computed, not measured: an optimized crystal structure of Ac2TmIn3 at the PBE level of DFT.

Calculated values
relative energy among the computed polymorphs: 200 meV per atom
DOS at the Fermi energy: 6.59 states/eV/f.u.
DFT formation energy: -0.219 eV/atom
calculated volume: 822.9 Å³/cell

Lattice parameters (Å, degrees): 13.2619 10.4862 5.9171 90.00 90.00 90.00
Closest atoms and distances in Å follow each position.
Space group Cmcm (No. 63)
Inequivalent atoms, fractional coordinates:
Ac1 0.1399 0.2056 0.2500 [8 per cell]  7 In 3.43-3.69, 1 Ac 3.71
Tm1 0.0000 0.3973 0.7500 [4 per cell]  5 In 3.15-3.22
In1 0.0000 0.0904 0.7500 [4 per cell]  1 Tm 3.22, 2 In 3.51
In2 0.1931 0.5000 0.0000 [8 per cell]  2 In 2.96, 2 Tm 3.15

***

[2]
Computed, not measured: an optimized crystal structure of Ac5Tm4In4 at the PBE level of DFT.

Calculated values
DOS at the Fermi energy: 17.12 states/eV/f.u.
DFT formation energy: -0.276 eV/atom
calculated volume: 909.4 Å³/cell

Lattice parameters (Å, degrees): 13.4661 13.4661 5.0151 90.00 90.00 90.00
Closest atoms and distances in Å follow each position.
Space group I4/m (No. 87)
Inequivalent atoms, fractional coordinates:
Ac1 0.0000 0.0000 0.0000 [2 per cell]  4 In 3.52
Ac2 0.1280 0.2024 0.5000 [8 per cell]  5 In 3.51-3.68, 3 Tm 3.86-3.89
Tm1 0.0790 0.5991 0.5000 [8 per cell]  3 In 3.17-3.21, 5 Tm 3.41-3.48
In1 0.0655 0.7473 0.0000 [8 per cell]  3 Tm 3.17-3.21, 4 Ac 3.51-3.54

***

[3]
Computed, not measured: an optimized crystal structure of AcTm5In6 at the PBE level of DFT.

Calculated values
DOS at the Fermi energy: 7.74 states/eV/f.u.
DFT formation energy: -0.398 eV/atom
calculated volume: 652.6 Å³/cell

Lattice parameters (Å, degrees): 17.0111 7.3774 5.4443 90.00 107.22 90.00
Closest atoms and distances in Å follow each position.
Space group C2/m (No. 12)
Inequivalent atoms, fractional coordinates:
Ac1 0.0000 0.0000 0.0000 [2 per cell]  8 In 3.40-3.44, 4 Tm 3.69-3.71
Tm1 0.0000 0.5000 0.0000 [2 per cell]  8 In 3.19-3.34
Tm2 0.1599 0.0000 0.6345 [4 per cell]  8 In 3.23-3.38
Tm3 0.1684 0.5000 0.6359 [4 per cell]  8 In 3.20-3.24
In1 0.0000 0.2759 0.5000 [4 per cell]  6 Tm 3.19-3.30, 1 In 3.31, 2 Ac 3.40
In2 0.1751 0.2626 0.1416 [8 per cell]  7 Tm 3.22-3.38, 2 In 3.35-3.50, 1 Ac 3.44

***

[4]
Computed, not measured: an optimized crystal structure of AcTmIn at the PBE level of DFT.

Calculated values
relative energy among the computed polymorphs: 0 meV per atom
DOS at the Fermi energy: 3.12 states/eV/f.u.
DFT formation energy: -0.310 eV/atom
calculated volume: 205.2 Å³/cell

Lattice parameters (Å, degrees): 4.9468 4.9468 8.3866 90.00 90.00 90.00
Closest atoms and distances in Å follow each position.
Space group P4/nmm (No. 129, origin choice 2)
Inequivalent atoms, fractional coordinates:
Ac1 0.2500 0.2500 0.1504 [2 per cell]  5 In 3.46-3.62, 4 Tm 3.84
Tm1 0.2500 0.7500 0.5000 [2 per cell]  4 In 3.18, 4 Tm 3.50
In1 0.2500 0.2500 0.7382 [2 per cell]  4 Tm 3.18, 1 Ac 3.46

***

[5]
Computed, not measured: an optimized crystal structure of AcTm2In at the PBE level of DFT.

Calculated values
relative energy among the computed polymorphs: 42 meV per atom
DOS at the Fermi energy: 6.31 states/eV/f.u.
DFT formation energy: -0.153 eV/atom
calculated volume: 125.0 Å³/cell

Lattice parameters (Å, degrees): 5.0080 5.0080 4.9854 90.00 90.00 90.00
Closest atoms and distances in Å follow each position.
Space group P4/mmm (No. 123)
Inequivalent atoms, fractional coordinates:
Ac1 0.0000 0.0000 0.0000 [1 per cell]  8 Tm 3.53, 4 In 3.54
Tm1 0.0000 0.5000 0.5000 [2 per cell]  4 Ac 3.53, 4 In 3.53, 4 Tm 3.54
In1 0.5000 0.5000 0.0000 [1 per cell]  8 Tm 3.53, 4 Ac 3.54

***

[6]
Computed, not measured: an optimized crystal structure of AcTm2In at the PBE level of DFT.

Calculated values
relative energy among the computed polymorphs: 201 meV per atom
DOS at the Fermi energy: 6.58 states/eV/f.u.
DFT formation energy: 0.006 eV/atom
calculated volume: 488.2 Å³/cell

Lattice parameters (Å, degrees): 7.8742 7.8742 7.8742 90.00 90.00 90.00
Closest atoms and distances in Å follow each position.
Space group Fm-3m (No. 225)
Inequivalent atoms, fractional coordinates:
Ac1 0.0000 0.0000 0.0000 [4 per cell]  8 Tm 3.41
Tm1 0.2500 0.2500 0.2500 [8 per cell]  4 Ac 3.41, 4 In 3.41
In1 0.0000 0.0000 0.5000 [4 per cell]  8 Tm 3.41

***

[7]
Computed, not measured: an optimized crystal structure of AcTmIn2 at the PBE level of DFT.

Calculated values
DOS at the Fermi energy: 4.21 states/eV/f.u.
DFT formation energy: -0.337 eV/atom
calculated volume: 122.4 Å³/cell

Lattice parameters (Å, degrees): 5.2073 5.2073 4.5150 90.00 90.00 90.00
Closest atoms and distances in Å follow each position.
Space group P4/mmm (No. 123)
Inequivalent atoms, fractional coordinates:
Ac1 0.0000 0.0000 0.0000 [1 per cell]  8 In 3.45, 4 Tm 3.68
Tm1 0.5000 0.5000 0.0000 [1 per cell]  8 In 3.45, 4 Ac 3.68
In1 0.0000 0.5000 0.5000 [2 per cell]  4 Ac 3.45, 4 Tm 3.45, 4 In 3.68

***

[8]
Computed, not measured: an optimized crystal structure of AcTmIn2 at the PBE level of DFT.

Calculated values
DOS at the Fermi energy: 2.74 states/eV/f.u.
DFT formation energy: -0.424 eV/atom
calculated volume: 119.5 Å³/cell

Lattice parameters (Å, degrees): 3.8782 3.8782 7.9442 90.00 90.00 90.00
Closest atoms and distances in Å follow each position.
Space group P4/mmm (No. 123)
Inequivalent atoms, fractional coordinates:
Ac1 0.0000 0.0000 0.0000 [1 per cell]  8 In 3.55, 4 Ac 3.88, 2 Tm 3.97
Tm1 0.0000 0.0000 0.5000 [1 per cell]  8 In 3.24
In1 0.5000 0.5000 0.2838 [2 per cell]  4 Tm 3.24, 1 In 3.43, 4 Ac 3.55

***

[9]
Computed, not measured: an optimized crystal structure of Ac2Tm3In4 at the PBE level of DFT.

Calculated values
DOS at the Fermi energy: 9.20 states/eV/f.u.
DFT formation energy: -0.327 eV/atom
calculated volume: 1131.2 Å³/cell

Lattice parameters (Å, degrees): 7.1206 17.3761 9.1425 90.00 90.00 90.00
Closest atoms and distances in Å follow each position.
Space group Cmce (No. 64)
Inequivalent atoms, fractional coordinates:
Ac1 0.0000 0.1101 0.0805 [8 per cell]  8 In 3.57-3.79, 4 Tm 3.79-3.99
Tm1 0.0000 0.0000 0.5000 [4 per cell]  6 In 3.00-3.18
Tm2 0.2500 0.2191 0.7500 [8 per cell]  5 In 3.05-3.25
In1 0.0000 0.1820 0.4616 [8 per cell]  5 Tm 3.14-3.25
In2 0.2500 0.0438 0.7500 [8 per cell]  3 Tm 3.00-3.05

***

[10]
Computed, not measured: an optimized crystal structure of AcTm4In5 at the PBE level of DFT.

Calculated values
DOS at the Fermi energy: 6.51 states/eV/f.u.
DFT formation energy: -0.420 eV/atom
calculated volume: 273.5 Å³/cell

Lattice parameters (Å, degrees): 3.7815 3.7815 19.1285 90.00 90.00 90.00
Closest atoms and distances in Å follow each position.
Space group P4/mmm (No. 123)
Inequivalent atoms, fractional coordinates:
Ac1 0.0000 0.0000 0.0000 [1 per cell]  8 In 3.54, 4 Ac 3.78
Tm1 0.0000 0.0000 0.2153 [2 per cell]  8 In 3.22-3.24
Tm2 0.0000 0.0000 0.4057 [2 per cell]  8 In 3.22-3.23, 1 Tm 3.61
In1 0.5000 0.5000 0.1215 [2 per cell]  4 Tm 3.22, 4 Ac 3.54
In2 0.5000 0.5000 0.3113 [2 per cell]  8 Tm 3.23-3.24, 1 In 3.61
In3 0.5000 0.5000 0.5000 [1 per cell]  8 Tm 3.22, 2 In 3.61

***

[11]
Computed, not measured: an optimized crystal structure of AcTm7In4 at the PBE level of DFT.

Calculated values
DOS at the Fermi energy: 11.90 states/eV/f.u.
DFT formation energy: -0.028 eV/atom
calculated volume: 719.0 Å³/cell

Lattice parameters (Å, degrees): 14.0799 5.7633 10.7648 90.00 124.61 90.00
Closest atoms and distances in Å follow each position.
Space group C2/m (No. 12)
Inequivalent atoms, fractional coordinates:
Ac1 0.0000 0.0000 0.0000 [2 per cell]  2 Tm 2.88
Tm1 0.0000 0.5000 0.0000 [2 per cell]  2 Ac 2.88, 4 In 2.99-3.08
Tm2 0.0607 0.0000 0.3898 [4 per cell]  3 In 3.09-3.31, 1 Tm 3.28
Tm3 0.1950 0.5000 0.6273 [4 per cell]  4 In 2.99-3.23
Tm4 0.2170 0.0000 0.8754 [4 per cell]  4 In 3.20-3.37, 2 Tm 3.28-3.41
In1 0.0657 0.5000 0.7713 [4 per cell]  5 Tm 2.99-3.31, 1 In 3.06
In2 0.1862 0.5000 0.3307 [4 per cell]  6 Tm 2.99-3.23, 1 In 3.06

***

[12]
Computed, not measured: an optimized crystal structure of AcTm2In9 at the PBE level of DFT.

Calculated values
DOS at the Fermi energy: 6.65 states/eV/f.u.
DFT formation energy: -0.368 eV/atom
calculated volume: 316.3 Å³/cell

Lattice parameters (Å, degrees): 4.7416 4.7416 14.0695 90.00 90.00 90.00
Closest atoms and distances in Å follow each position.
Space group P4/mmm (No. 123)
Inequivalent atoms, fractional coordinates:
Ac1 0.0000 0.0000 0.0000 [1 per cell]  12 In 3.35-3.47
Tm1 0.0000 0.0000 0.3421 [2 per cell]  12 In 3.25-3.35
In1 0.0000 0.5000 0.1805 [4 per cell]  8 In 3.24-3.47, 2 Tm 3.28, 2 Ac 3.47
In2 0.0000 0.5000 0.5000 [2 per cell]  4 Tm 3.25, 8 In 3.29-3.35
In3 0.5000 0.5000 0.0000 [1 per cell]  4 Ac 3.35, 8 In 3.47
In4 0.5000 0.5000 0.3379 [2 per cell]  8 In 3.24-3.29, 4 Tm 3.35

***

[13]
Computed, not measured: an optimized crystal structure of Ac3TmIn2 at the PBE level of DFT.

Calculated values
DOS at the Fermi energy: 6.72 states/eV/f.u.
DFT formation energy: -0.257 eV/atom
calculated volume: 443.3 Å³/cell

Lattice parameters (Å, degrees): 4.9168 5.1087 17.6501 90.00 90.00 90.00
Closest atoms and distances in Å follow each position.
Space group Immm (No. 71)
Inequivalent atoms, fractional coordinates:
Ac1 0.0000 0.0000 0.0000 [2 per cell]  4 In 3.43, 4 Tm 3.55
Ac2 0.0000 0.5000 0.3229 [4 per cell]  5 In 3.41-3.64
Tm1 0.0000 0.0000 0.5000 [2 per cell]  4 In 3.36, 4 Ac 3.55
In1 0.0000 0.5000 0.1299 [4 per cell]  2 Tm 3.36, 7 Ac 3.41-3.64

***

[14]
Computed, not measured: an optimized crystal structure of Ac3TmIn12 at the PBE level of DFT.

Calculated values
DOS at the Fermi energy: 7.97 states/eV/f.u.
DFT formation energy: -0.383 eV/atom
calculated volume: 456.5 Å³/cell

Lattice parameters (Å, degrees): 4.8467 4.8467 19.4327 90.00 90.00 90.00
Closest atoms and distances in Å follow each position.
Space group P4/mmm (No. 123)
Inequivalent atoms, fractional coordinates:
Ac1 0.0000 0.0000 0.0000 [1 per cell]  12 In 3.43-3.49
Ac2 0.0000 0.0000 0.2599 [2 per cell]  12 In 3.43-3.51
Tm1 0.0000 0.0000 0.5000 [1 per cell]  12 In 3.27-3.43
In1 0.0000 0.5000 0.1294 [4 per cell]  8 In 3.37-3.49, 4 Ac 3.49-3.51
In2 0.0000 0.5000 0.3871 [4 per cell]  8 In 3.27-3.61, 2 Tm 3.27, 2 Ac 3.46
In3 0.5000 0.5000 0.0000 [1 per cell]  4 Ac 3.43, 8 In 3.49
In4 0.5000 0.5000 0.2498 [2 per cell]  8 In 3.37-3.61, 4 Ac 3.43
In5 0.5000 0.5000 0.5000 [1 per cell]  8 In 3.27, 4 Tm 3.43

***

[15]
Computed, not measured: an optimized crystal structure of AcTmIn4 at the PBE level of DFT.

Calculated values
relative energy among the computed polymorphs: 0 meV per atom
DOS at the Fermi energy: 1.89 states/eV/f.u.
DFT formation energy: -0.406 eV/atom
calculated volume: 168.5 Å³/cell

Lattice parameters (Å, degrees): 5.1127 5.1127 7.4436 90.00 90.00 120.00
Closest atoms and distances in Å follow each position.
Space group P6/mmm (No. 191)
Inequivalent atoms, fractional coordinates:
Ac1 0.0000 0.0000 0.0000 [1 per cell]  12 In 3.62, 2 Tm 3.72
Tm1 0.0000 0.0000 0.5000 [1 per cell]  12 In 3.37, 2 Ac 3.72
In1 0.3333 0.6667 0.2821 [4 per cell]  4 In 2.95-3.24

***

[16]
Computed, not measured: an optimized crystal structure of AcTm2In at the PBE level of DFT.

Calculated values
relative energy among the computed polymorphs: 171 meV per atom
DOS at the Fermi energy: 5.23 states/eV/f.u.
DFT formation energy: -0.024 eV/atom
calculated volume: 414.5 Å³/cell

Lattice parameters (Å, degrees): 5.2150 5.2150 17.5991 90.00 90.00 120.00
Closest atoms and distances in Å follow each position.
Space group R3m (No. 160, hexagonal axes)
Inequivalent atoms, fractional coordinates:
Ac1 0.0000 0.0000 0.0000 [3 per cell]  4 In 3.59-3.77, 7 Tm 3.65-3.74
Tm1 0.0000 0.0000 0.5493 [3 per cell]  3 In 3.02
Tm2 0.0000 0.0000 0.7875 [3 per cell]  3 In 3.35, 3 Tm 3.45, 4 Ac 3.69-3.74
In1 0.0000 0.0000 0.2041 [3 per cell]  6 Tm 3.02-3.35

***

[17]
Computed, not measured: an optimized crystal structure of Ac2TmIn at the PBE level of DFT.

Calculated values
relative energy among the computed polymorphs: 0 meV per atom
DOS at the Fermi energy: 6.05 states/eV/f.u.
DFT formation energy: -0.148 eV/atom
calculated volume: 139.5 Å³/cell

Lattice parameters (Å, degrees): 5.1961 5.1961 5.1679 90.00 90.00 90.00
Closest atoms and distances in Å follow each position.
Space group P4/mmm (No. 123)
Inequivalent atoms, fractional coordinates:
Ac1 0.0000 0.5000 0.0000 [2 per cell]  4 In 3.66, 4 Tm 3.66, 4 Ac 3.67
Tm1 0.0000 0.0000 0.5000 [1 per cell]  8 Ac 3.66, 4 In 3.67
In1 0.5000 0.5000 0.5000 [1 per cell]  8 Ac 3.66, 4 Tm 3.67

***

[18]
Computed, not measured: an optimized crystal structure of AcTmIn at the PBE level of DFT.

Calculated values
relative energy among the computed polymorphs: 100 meV per atom
DOS at the Fermi energy: 2.04 states/eV/f.u.
DFT formation energy: -0.209 eV/atom
calculated volume: 100.7 Å³/cell

Lattice parameters (Å, degrees): 5.4120 5.4120 3.9711 90.00 90.00 120.00
Closest atoms and distances in Å follow each position.
Space group P-6m2 (No. 187)
Inequivalent atoms, fractional coordinates:
Ac1 0.0000 0.0000 0.0000 [1 per cell]  6 In 3.70, 6 Tm 3.70, 2 Ac 3.97
Tm1 0.6667 0.3333 0.5000 [1 per cell]  3 In 3.12
In1 0.3333 0.6667 0.5000 [1 per cell]  3 Tm 3.12

***

[19]
Computed, not measured: an optimized crystal structure of Ac5TmIn4 at the PBE level of DFT.

Calculated values
DOS at the Fermi energy: 12.10 states/eV/f.u.
DFT formation energy: -0.305 eV/atom
calculated volume: 353.8 Å³/cell

Lattice parameters (Å, degrees): 4.0716 4.0716 21.3396 90.00 90.00 90.00
Closest atoms and distances in Å follow each position.
Space group P4/mmm (No. 123)
Inequivalent atoms, fractional coordinates:
Ac1 0.0000 0.0000 0.0000 [1 per cell]  8 In 3.56
Ac2 0.0000 0.0000 0.1966 [2 per cell]  8 In 3.56-3.57
Ac3 0.0000 0.0000 0.3912 [2 per cell]  4 In 3.53, 4 Tm 3.70
Tm1 0.5000 0.5000 0.5000 [1 per cell]  8 Ac 3.70, 4 Tm 4.07
In1 0.5000 0.5000 0.0981 [2 per cell]  8 Ac 3.56
In2 0.5000 0.5000 0.2952 [2 per cell]  8 Ac 3.53-3.57

***

[20]
Computed, not measured: an optimized crystal structure of AcTm3In3 at the PBE level of DFT.

Calculated values
DOS at the Fermi energy: 6.68 states/eV/f.u.
DFT formation energy: -0.327 eV/atom
calculated volume: 412.9 Å³/cell

Lattice parameters (Å, degrees): 9.5342 9.5342 5.2447 90.00 90.00 120.00
Closest atoms and distances in Å follow each position.
Space group P6_3/m (No. 176)
Inequivalent atoms, fractional coordinates:
Ac1 0.3333 0.6667 0.2500 [2 per cell]  9 In 3.42-3.52, 3 Tm 3.81
Tm1 0.0024 0.2276 0.7500 [6 per cell]  3 In 3.11-3.21, 4 Tm 3.40
In1 0.0676 0.6230 0.7500 [6 per cell]  3 Tm 3.11-3.21, 2 In 3.32, 1 Ac 3.42